1.
The following is a GGA-PBE calculation of a geometry-optimized GdMg2Tl structure, from Alexandria.

Unit cell a=3.634 b=3.634 c=7.922 alpha=90.00 beta=90.00 gamma=90.00
Sites, in units of the cell vectors:
Mg  0.000  0.000  0.775
Mg  0.000  0.000  0.225
Gd  0.500  0.500  0.500
Tl  0.500  0.500  0.000

Computed properties:
energy relative to the lowest polymorph listed for this composition: 0.120 eV/atom
ΔE_f: -0.0942 eV/atom
size of the total moment: 7.7 μB/cell
crystal system: tetragonal

---

2.
The following is a GGA-PBE calculation of a geometry-optimized GdMg2Tl structure, from Alexandria.

Unit cell a=5.202 b=5.202 c=5.202 alpha=60.00 beta=60.00 gamma=60.00
Sites, in units of the cell vectors:
Mg  0.750  0.750  0.750
Mg  0.250  0.250  0.250
Tl  0.500  0.500  0.500
Gd  0.000  0.000  0.000

Computed properties:
energy relative to the lowest polymorph listed for this composition: 0.158 eV/atom
ΔE_f: -0.0566 eV/atom
size of the total moment: 7.2 μB/cell
crystal system: cubic

---

3.
The following is a GGA-PBE calculation of a geometry-optimized GdMgTl structure, from Alexandria.

Unit cell a=3.631 b=5.003 c=5.003 alpha=120.00 beta=90.00 gamma=90.00
Sites, in units of the cell vectors:
Tl  0.166  0.333  0.667
Gd  0.667  0.667  0.333
Mg  0.167  0.000  0.000

Computed properties:
ΔE_f: -0.2728 eV/atom
size of the total moment: 7.6 μB/cell
crystal system: hexagonal